[1]
An optimized crystal structure of YHoCu3, computed with PBE-GGA.

As for the space-group type: Cmcm (63). The magnetization is 0.00 μB per cell. Its formation energy is -0.251 eV/atom.

```
YHoCu3
1.0
-0.504 1.714 -3.134
-4.244 -0.355 0.488
0.025 10.291 7.702
Y Cu Ho
2 6 2
Direct
0.071 0.250 0.143
0.929 0.750 0.857
0.477 0.250 0.954
0.382 0.250 0.763
0.328 0.750 0.656
0.672 0.250 0.344
0.618 0.750 0.237
0.523 0.750 0.046
0.796 0.250 0.592
0.204 0.750 0.408
```

[2]
An optimized crystal structure of YHoCu2, computed with PBE-GGA.

As for the space-group type: Fm-3m (225). The magnetization is 0.00 μB per cell. Its formation energy is -0.251 eV/atom.

```
YHoCu2
1.0
-1.475 -0.324 4.667
-1.293 -4.347 1.868
2.861 -2.187 3.330
Cu Y Ho
2 1 1
Direct
0.750 0.750 0.750
0.250 0.250 0.250
0.000 0.000 0.000
0.500 0.500 0.500
```

[3]
An optimized crystal structure of YHoCu2, computed with PBE-GGA.

As for the space-group type: Pm (6). The magnetization is 0.00 μB per cell. Its formation energy is -0.259 eV/atom.

```
YHoCu2
1.0
-0.673 3.639 0.555
-4.373 -0.732 -0.501
-0.094 -2.710 4.781
Y Cu Ho
1 2 1
Direct
0.725 0.000 0.987
0.009 0.000 0.560
0.155 0.500 0.846
0.442 0.500 0.425
```

[4]
An optimized crystal structure of YHo4Cu, computed with PBE-GGA.

As for the space-group type: P4/mmm (123). The magnetization is 0.00 μB per cell. Its formation energy is -0.057 eV/atom.

```
YHo4Cu
1.0
3.490 0.000 0.000
0.000 3.490 0.000
0.000 0.000 13.714
Y Ho Cu
1 4 1
Direct
0.000 0.000 0.000
0.500 0.500 0.185
0.500 0.500 0.815
0.000 0.000 0.376
0.000 0.000 0.624
0.500 0.500 0.500
```

[5]
An optimized crystal structure of YHoCu, computed with PBE-GGA.

As for the space-group type: I4mm (107). The magnetization is 0.39 μB per cell. Its formation energy is -0.132 eV/atom.

```
YHoCu
1.0
3.478 0.000 0.000
0.000 3.478 0.000
-1.739 -1.739 6.165
Y Ho Cu
1 1 1
Direct
0.027 0.027 0.054
0.304 0.304 0.607
0.670 0.670 0.339
```

[6]
An optimized crystal structure of Ho4ZnCu, computed with PBE-GGA.

As for the space-group type: P4/mmm (123). The magnetization is 0.00 μB per cell. Its formation energy is 0.028 eV/atom.

```
Ho4ZnCu
1.0
-0.471 -2.921 3.849
4.343 -1.951 -0.950
3.019 4.772 3.993
Ho Zn Cu
4 1 1
Direct
0.001 0.497 0.254
0.501 0.997 0.254
0.501 0.997 0.742
0.001 0.497 0.742
0.501 0.497 0.998
0.001 0.998 0.498
```

[7]
An optimized crystal structure of HoZn2Cu9, computed with PBE-GGA.

As for the space-group type: I4_1/amd (141). The magnetization is 0.00 μB per cell. Its formation energy is -0.113 eV/atom.

```
HoZn2Cu9
1.0
-4.926 0.058 4.359
-3.353 -6.984 1.267
2.176 -1.244 7.439
Cu Zn Ho
18 4 2
Direct
0.074 0.915 0.330
0.011 0.915 0.670
0.596 0.330 0.085
0.739 0.585 0.830
0.319 0.670 0.085
0.596 0.085 0.330
0.431 0.830 0.415
0.676 0.585 0.170
0.319 0.085 0.670
0.154 0.170 0.415
0.000 0.000 0.000
0.011 0.670 0.915
0.739 0.830 0.585
0.750 0.500 0.500
0.154 0.415 0.170
0.431 0.415 0.830
0.074 0.330 0.915
0.676 0.170 0.585
0.875 0.250 0.750
0.875 0.250 0.250
0.875 0.750 0.250
0.375 0.750 0.750
0.500 0.000 0.000
0.250 0.500 0.500
```

[8]
An optimized crystal structure of HoZn8Cu2, computed with PBE-GGA.

As for the space-group type: P4/mmm (123). The magnetization is 0.00 μB per cell. Its formation energy is 0.217 eV/atom.

```
HoZn8Cu2
1.0
-2.027 -1.473 4.594
-4.516 -1.172 -2.369
2.689 -7.741 -1.295
Zn Cu Ho
8 2 1
Direct
0.752 0.752 0.789
0.248 0.248 0.789
0.248 0.752 0.789
0.248 0.752 0.211
0.752 0.248 0.211
0.752 0.248 0.789
0.248 0.248 0.211
0.752 0.752 0.211
0.000 0.500 0.000
0.500 0.000 0.000
0.500 0.500 0.500
```

Among the records above, which one has the highest magnetization?
YHoCu

Look up the magnetization of the first one.
0.00 μB per cell